Here is InAsP2F at its PBEsol-relaxed geometry from Alexandria via LeMat-Bulk. Energies are from SCAN.

Properties
The value obtained for the uncorrected formation energy is 295 kJ/mol of formula units. As for the size of the total moment: 0.000 μB/f.u. The space group is No. 123. For the calculated volume, the calculation gives 89 Å³/cell.

a = 4.2111 Å, b = 4.6068 Å, c = 4.6068 Å
α = 90.00°, β = 90.00°, γ = 90.00°
Positions (direct):
P  0.0000  0.0000  0.5000
P  0.0000  0.5000  0.0000
As  0.5000  0.0000  0.0000
In  0.5000  0.5000  0.5000
F  0.0000  0.0000  0.0000